[1]
# Y2MnCoSe | Alexandria | PBE-GGA | relaxed
data_Y2MnCoSe
_chemical_formula_sum 'Y2 Mn1 Co1 Se1'
_symmetry_space_group_name_H-M 'P 4/m m m'
_symmetry_Int_Tables_number 123
_symmetry_space_group_name_Hall '-P 4 2'
_cell_length_a 5.349
_cell_length_b 5.349
_cell_length_c 4.399
_cell_angle_alpha 90.00
_cell_angle_beta 90.00
_cell_angle_gamma 90.00
loop_
_atom_site_label
_atom_site_type_symbol
_atom_site_fract_x
_atom_site_fract_y
_atom_site_fract_z
Y1 Y 0.000 0.500 0.000
Mn1 Mn 0.000 0.000 0.500
Co1 Co 0.500 0.500 0.500
Se1 Se 0.000 0.000 0.000
# Formation energy without anion corrections, eV/atom: 0.14

[2]
# MnCoSi | Alexandria | PBE-GGA | relaxed
data_MnCoSi
_chemical_formula_sum 'Mn4 Co4 Si4'
_symmetry_space_group_name_H-M 'P n m a'
_symmetry_Int_Tables_number 62
_symmetry_space_group_name_Hall '-P 2ac 2n'
_cell_length_a 5.714
_cell_length_b 3.655
_cell_length_c 6.867
_cell_angle_alpha 90.00
_cell_angle_beta 90.00
_cell_angle_gamma 90.00
loop_
_atom_site_label
_atom_site_type_symbol
_atom_site_fract_x
_atom_site_fract_y
_atom_site_fract_z
Mn1 Mn 0.029 0.250 0.183
Co1 Co 0.158 0.250 0.558
Si1 Si 0.234 0.750 0.375
# Formation energy without anion corrections, eV/atom: -0.45
# Offset from the most stable computed form, eV per formula unit: 0.00

[3]
# MnCoSi | Alexandria | PBE-GGA | relaxed
data_MnCoSi
_chemical_formula_sum 'Mn2 Co2 Si2'
_symmetry_space_group_name_H-M 'I m m 2'
_symmetry_Int_Tables_number 44
_symmetry_space_group_name_Hall 'I 2 -2'
_cell_length_a 2.637
_cell_length_b 3.441
_cell_length_c 7.557
_cell_angle_alpha 90.00
_cell_angle_beta 90.00
_cell_angle_gamma 90.00
loop_
_atom_site_label
_atom_site_type_symbol
_atom_site_fract_x
_atom_site_fract_y
_atom_site_fract_z
Mn1 Mn 0.000 0.000 0.000
Co1 Co 0.000 0.000 0.325
Si1 Si 0.000 0.000 0.668
# Formation energy without anion corrections, eV/atom: -0.25
# Offset from the most stable computed form, eV per formula unit: 0.61

[4]
# Mn4CoSi | Alexandria | PBE-GGA | relaxed
data_Mn4CoSi
_chemical_formula_sum 'Mn16 Co4 Si4'
_symmetry_space_group_name_H-M 'F -4 3 m'
_symmetry_Int_Tables_number 216
_symmetry_space_group_name_Hall 'F -4 2 3'
_cell_length_a 6.491
_cell_length_b 6.491
_cell_length_c 6.491
_cell_angle_alpha 90.00
_cell_angle_beta 90.00
_cell_angle_gamma 90.00
loop_
_atom_site_label
_atom_site_type_symbol
_atom_site_fract_x
_atom_site_fract_y
_atom_site_fract_z
Mn1 Mn 0.125 0.125 0.125
Co1 Co 0.000 0.000 0.500
Si1 Si 0.250 0.250 0.750
# Formation energy without anion corrections, eV/atom: 0.21